Rb2U3TcO12 after structural relaxation, computed with PBE-GGA.

CIF file:
```
data_Rb2U3TcO12
_chemical_formula_sum 'Rb2 U3 Tc1 O12'
_cell_length_a 7.618
_cell_length_b 7.618
_cell_length_c 7.618
_cell_angle_alpha 62.59
_cell_angle_beta 62.59
_cell_angle_gamma 62.59
_space_group_name_H-M_alt 'P 1'
_space_group_IT_number 1
_space_group_name_Hall 'P 1'
loop_
_atom_site_label
_atom_site_type_symbol
_atom_site_fract_x
_atom_site_fract_y
_atom_site_fract_z
U1 U 0.500 0.000 0.000
U2 U 0.000 0.000 0.500
U3 U 0.000 0.500 0.000
O1 O 0.941 0.941 0.303
O2 O 0.678 0.062 0.678
O3 O 0.303 0.941 0.941
O4 O 0.941 0.303 0.941
O5 O 0.062 0.678 0.678
O6 O 0.322 0.938 0.322
O7 O 0.322 0.322 0.938
O8 O 0.678 0.678 0.062
O9 O 0.059 0.059 0.697
O10 O 0.059 0.697 0.059
O11 O 0.697 0.059 0.059
O12 O 0.938 0.322 0.322
Rb1 Rb 0.371 0.371 0.371
Rb2 Rb 0.629 0.629 0.629
Tc1 Tc 0.000 0.000 0.000
```

Output
Formation energy without anion corrections (meV per atom): -2647
Total DFT energy (no corrections) (eV/atom): -8.518
Magnetic moment (μB/f.u.): 3.00